A plane-wave DFT calculation with PBE-GGA was carried out for a geometry-optimized Tb3Ni2P3 structure.

Unit cell a=3.959 b=5.587 c=13.640 alpha=90.00 beta=90.00 gamma=110.75
Sites, in units of the cell vectors:
Ni  0.224  0.447  0.094
Ni  0.776  0.553  0.594
Ni  0.776  0.553  0.906
Ni  0.224  0.447  0.406
Tb  0.360  0.719  0.750
Tb  0.925  0.850  0.392
Tb  0.925  0.850  0.108
Tb  0.075  0.150  0.608
Tb  0.640  0.281  0.250
Tb  0.075  0.150  0.892
P  0.365  0.730  0.548
P  0.635  0.270  0.048
P  0.657  0.314  0.750
P  0.343  0.686  0.250
P  0.635  0.270  0.452
P  0.365  0.730  0.952

## Properties
- Formation energy: -1.137 eV/atom
- M_tot: 0.545 μB per formula unit


A plane-wave DFT calculation with PBE-GGA was carried out for a geometry-optimized TbNiP2 structure.

Unit cell a=3.830 b=3.830 c=5.335 alpha=111.07 beta=111.07 gamma=89.95
Sites, in units of the cell vectors:
P  0.597  0.256  0.978
P  0.846  0.506  0.479
Ni  0.471  0.632  0.728
Tb  0.221  0.881  0.228

## Properties
- Formation energy: -1.038 eV/atom
- M_tot: 0.000 μB per formula unit


A plane-wave DFT calculation with PBE-GGA was carried out for a geometry-optimized TbNi6P structure.

Unit cell a=5.677 b=5.677 c=5.246 alpha=57.24 beta=57.24 gamma=60.00
Sites, in units of the cell vectors:
Ni  0.120  0.538  0.222
Ni  0.880  0.880  0.778
Ni  0.880  0.462  0.778
Ni  0.538  0.120  0.222
Ni  0.462  0.880  0.778
Ni  0.120  0.120  0.222
P  0.000  0.000  0.000
Tb  0.500  0.500  0.500

## Properties
- Formation energy: -0.151 eV/atom
- M_tot: 0.000 μB per formula unit


A plane-wave DFT calculation with PBE-GGA was carried out for a geometry-optimized TbNiP structure.

Unit cell a=3.909 b=3.909 c=15.555 alpha=90.00 beta=90.00 gamma=120.00
Sites, in units of the cell vectors:
Ni  0.667  0.333  0.627
Ni  0.667  0.333  0.873
Ni  0.333  0.667  0.127
Ni  0.333  0.667  0.373
P  0.333  0.667  0.877
P  0.667  0.333  0.377
P  0.333  0.667  0.623
P  0.667  0.333  0.123
Tb  0.000  0.000  0.500
Tb  0.000  0.000  0.000
Tb  0.000  0.000  0.250
Tb  0.000  0.000  0.750

## Properties
- Formation energy: -1.217 eV/atom
- M_tot: 0.000 μB per formula unit


| no. | calculated volume (Å³ per cell) | total energy (eV per atom) |
| --- | --- | --- |
| 1 | 282.10 | -6.348 |
| 2 | 67.42 | -6.346 |
| 3 | 114.34 | -5.742 |
| 4 | 205.87 | -6.491 |